# 1
In3P: relaxed, PBE.

a = 3.6815 Å, b = 3.7666 Å, c = 7.4480 Å
α = 90.00°, β = 90.00°, γ = 90.00°
Space group Pmm2 (No. 25)
Inequivalent atoms, fractional coordinates:
In (0.0000, 0.0000, 0.0000)
In (0.0000, 0.5000, 0.4011)
In (0.5000, 0.0000, 0.6531)
P (0.5000, 0.5000, 0.1306)

Properties
Crystal system ... orthorhombic
Energy relative to the elements ... 0.083 eV per atom
Total energy ... -3.323 eV/atom
Total moment ... 0.000 μB/f.u.

# 2
In3P5: relaxed, PBE.

a = 7.1724 Å, b = 12.7691 Å, c = 3.7521 Å
α = 90.00°, β = 90.00°, γ = 90.00°
Space group Cmmm (No. 65)
Inequivalent atoms, fractional coordinates:
In (0.0000, 0.0000, 0.0000)
In (0.0000, 0.2981, 0.5000)
P (0.0000, 0.5000, 0.0000)
P (0.2075, 0.5000, 0.5000)
P (0.2500, 0.2500, 0.0000)

Properties
Crystal system ... orthorhombic
Energy relative to the elements ... 0.434 eV per atom
Total energy ... -3.974 eV/atom
Total moment ... 0.000 μB/f.u.

# 3
In5P4: relaxed, PBE.

a = 10.1978 Å, b = 10.1978 Å, c = 4.1020 Å
α = 90.00°, β = 90.00°, γ = 90.00°
Space group I4/mmm (No. 139)
Inequivalent atoms, fractional coordinates:
In (0.0000, 0.0000, 0.0000)
In (0.1687, 0.1687, 0.5000)
P (0.0000, 0.3921, 0.0000)

Properties
Crystal system ... tetragonal
Energy relative to the elements ... 0.292 eV per atom
Total energy ... -3.634 eV/atom
Total moment ... 0.000 μB/f.u.

# 4
InP5: relaxed, PBE.

a = 4.8908 Å, b = 3.3855 Å, c = 13.2519 Å
α = 90.00°, β = 90.00°, γ = 90.00°
Space group Amm2 (No. 38)
Inequivalent atoms, fractional coordinates:
In (0.0000, 0.0000, 0.0000)
P (0.0000, 0.0000, 0.3000)
P (0.0000, 0.0000, 0.6843)
P (0.5000, 0.0000, 0.2993)
P (0.5000, 0.0000, 0.6746)
P (0.5000, 0.0000, 0.9239)

Properties
Crystal system ... orthorhombic
Energy relative to the elements ... 0.222 eV per atom
Total energy ... -4.743 eV/atom
Total moment ... 0.000 μB/f.u.

# 5
InP2: relaxed, PBE.

a = 3.0990 Å, b = 3.0990 Å, c = 13.3750 Å
α = 90.00°, β = 90.00°, γ = 90.00°
Space group I4/mmm (No. 139)
Inequivalent atoms, fractional coordinates:
In (0.0000, 0.0000, 0.0000)
P (0.0000, 0.0000, 0.2186)

Properties
Crystal system ... tetragonal
Energy relative to the elements ... 0.170 eV per atom
Total energy ... -4.349 eV/atom
Total moment ... 0.000 μB/f.u.

# 6
InP3: relaxed, PBE.

a = 3.1899 Å, b = 7.1109 Å, c = 7.2415 Å
α = 90.00°, β = 90.00°, γ = 90.00°
Space group Imm2 (No. 44)
Inequivalent atoms, fractional coordinates:
In (0.0000, 0.0000, 0.0000)
P (0.0000, 0.1946, 0.3440)
P (0.0000, 0.5000, 0.9828)

Properties
Crystal system ... orthorhombic
Energy relative to the elements ... 0.290 eV per atom
Total energy ... -4.452 eV/atom
Total moment ... 0.000 μB/f.u.

# 7
InP2: relaxed, PBE.

a = 3.2412 Å, b = 15.0575 Å, c = 5.5519 Å
α = 90.00°, β = 90.00°, γ = 90.00°
Space group Cmcm (No. 63)
Inequivalent atoms, fractional coordinates:
In (0.0000, 0.0891, 0.2500)
P (0.0000, 0.2100, 0.7500)
P (0.0000, 0.3861, 0.2500)

Properties
Crystal system ... orthorhombic
Energy relative to the elements ... 0.175 eV per atom
Total energy ... -4.344 eV/atom
Total moment ... 0.000 μB/f.u.

# 8
In3P5: relaxed, PBE.

a = 7.0862 Å, b = 7.8113 Å, c = 8.2405 Å
α = 79.92°, β = 67.98°, γ = 72.49°
Space group P1 (No. 1)
Inequivalent atoms, fractional coordinates:
In (0.0000, 0.0000, 0.0000)
In (0.0194, 0.4967, 0.8304)
In (0.3244, 0.2305, 0.2333)
In (0.4188, 0.7014, 0.1498)
In (0.6606, 0.4010, 0.6818)
In (0.7414, 0.0439, 0.4342)
P (0.1362, 0.2669, 0.5846)
P (0.1377, 0.9882, 0.2542)
P (0.1523, 0.5277, 0.0853)
P (0.2563, 0.9883, 0.6832)
P (0.5266, 0.0050, 0.7594)
P (0.6452, 0.4126, 0.2868)
P (0.6457, 0.7123, 0.8178)
P (0.6989, 0.8578, 0.2140)
P (0.7242, 0.3078, 0.0281)
P (0.8524, 0.5823, 0.3004)

Properties
Crystal system ... triclinic
Energy relative to the elements ... 0.103 eV per atom
Total energy ... -4.305 eV/atom
Total moment ... 0.000 μB/f.u.